Entry 1:
Density functional theory data (GGA-PBE) for a relaxed structure of Li2Ac2Sn3.

POSCAR file:
```
Li2Ac2Sn3
1.0
5.792 -2.382 0.000
5.792 2.382 0.000
-2.903 0.000 7.084
Li Ac Sn
2 2 3
direct
0.144 0.144 0.263
0.856 0.856 0.737
0.148 0.148 0.777
0.852 0.852 0.223
0.390 0.390 0.552
0.500 0.500 0.000
0.610 0.610 0.448
```

## Properties
Fermi-level density of states: 0.40 states/eV per atom
Space-group type: No. 12
Energy above the lowest structure with this stoichiometry: 1.03 eV per formula unit
ΔH_f (0 K): -507 meV/atom



Entry 2:
Density functional theory data (GGA-PBE) for a relaxed structure of TlIn12Bi7.

POSCAR file:
```
TlIn12Bi7
1.0
7.304 4.217 3.328
-7.304 4.217 3.328
0.000 -8.434 3.328
Tl In Bi
1 12 7
direct
0.000 0.000 0.000
0.021 0.302 0.414
0.235 0.666 0.377
0.302 0.414 0.021
0.334 0.623 0.765
0.377 0.235 0.666
0.414 0.021 0.302
0.586 0.979 0.698
0.623 0.765 0.334
0.666 0.377 0.235
0.698 0.586 0.979
0.765 0.334 0.623
0.979 0.698 0.586
0.036 0.912 0.340
0.088 0.660 0.964
0.340 0.036 0.912
0.500 0.500 0.500
0.660 0.964 0.088
0.912 0.340 0.036
0.964 0.088 0.660
```

## Properties
Fermi-level density of states: 0.55 states/eV per atom
Space-group type: No. 148
ΔH_f (0 K): 66 meV/atom



- What is the formula in the second record?
  TlIn12Bi7